Record 1
A geometry-optimized DyZnGaCu2 structure. Source: the Alexandria database, functional GGA-PBE.

Uncorrected energy in eV per formula unit: -18.627

```
DyZnGaCu2
1.0
-0.508 3.250 2.173
-3.267 -1.555 1.562
4.891 -3.088 2.185
Cu Ga Zn Dy
2 1 1 1
direct
0.051 0.051 0.102 Cu
0.693 0.193 0.385 Cu
0.832 0.832 0.665 Ga
0.186 0.686 0.372 Zn
0.450 0.450 0.900 Dy
```

***

Record 2
A geometry-optimized Tb5Nd8Er structure. Source: the Alexandria database, functional GGA-PBE.

Uncorrected energy in eV per formula unit: -62.342

```
Tb5Nd8Er
1.0
-1.807 7.455 3.873
0.985 -6.295 5.766
7.242 1.241 -4.456
Er Tb Nd
1 5 8
direct
0.250 0.500 0.750 Er
0.819 0.687 0.720 Tb
0.869 0.901 0.181 Tb
0.033 0.313 0.131 Tb
0.500 0.000 0.500 Tb
0.280 0.099 0.967 Tb
0.079 0.741 0.474 Nd
0.567 0.907 0.833 Nd
0.340 0.267 0.433 Nd
0.526 0.604 0.267 Nd
0.733 0.259 0.337 Nd
0.663 0.396 0.921 Nd
0.926 0.093 0.660 Nd
0.167 0.733 0.074 Nd
```

***

Record 3
A geometry-optimized TiAlOs2Cl structure. Source: the Alexandria database, functional GGA-PBE.

ΔE_f (raw) in meV per atom: 1382.6
Uncorrected energy in eV per formula unit: -29.031

```
TiAlOs2Cl
1.0
-1.575 4.104 -1.447
-3.770 -0.626 2.329
1.933 2.039 3.677
Os Ti Cl Al
2 1 1 1
direct
0.500 0.000 0.000 Os
0.000 0.000 0.500 Os
0.500 0.500 0.500 Ti
0.000 0.500 0.000 Cl
0.000 0.000 0.000 Al
```

***

Record 4
A geometry-optimized CaMnTlC2 structure. Source: the Alexandria database, functional GGA-PBE.

Uncorrected energy in eV per formula unit: -16.716

```
CaMnTlC2
1.0
4.419 0.000 0.000
0.000 5.758 0.000
0.000 0.000 4.419
C Ca Mn Tl
2 1 1 1
direct
0.500 0.000 0.000 C
0.000 0.000 0.500 C
0.000 0.500 0.000 Ca
0.500 0.500 0.500 Mn
0.000 0.000 0.000 Tl
```

***

Record 5
A geometry-optimized Sm4GeSI2 structure. Source: the Alexandria database, functional GGA-PBE.

ΔE_f (raw) in meV per atom: -1239.0
Uncorrected energy in eV per formula unit: -40.634

```
Sm4GeSI2
1.0
4.232 0.000 0.000
0.000 7.237 0.098
0.000 -2.576 7.568
Sm I S Ge
4 2 1 1
direct
0.500 0.781 0.813 Sm
0.000 0.258 0.808 Sm
0.000 0.742 0.192 Sm
0.500 0.219 0.187 Sm
0.000 0.500 0.500 I
0.500 0.000 0.500 I
0.000 0.000 0.000 S
0.500 0.500 0.000 Ge
```

***

Record 6
A geometry-optimized Zr3TiMn structure. Source: the Alexandria database, functional GGA-PBE.

Excess energy over the best structure of this formula in the dataset in meV per atom: 482
Uncorrected energy in eV per formula unit: -37.909

```
Zr3TiMn
1.0
-3.353 -0.806 -3.526
-2.274 -3.269 2.909
-2.813 3.603 1.851
Zr Mn Ti
3 1 1
direct
0.000 0.500 0.000 Zr
0.500 0.000 0.000 Zr
0.000 0.000 0.500 Zr
0.500 0.500 0.500 Mn
0.000 0.000 0.000 Ti
```

***

Record 7
A geometry-optimized Li2FeTe2 structure. Source: the Alexandria database, functional GGA-PBE.

ΔE_f (raw) in meV per atom: -299.5
Uncorrected energy in eV per formula unit: -20.071

```
Li2FeTe2
1.0
-1.857 -6.828 -1.647
4.748 0.035 -5.500
2.950 -1.414 2.537
Li Fe Te
4 2 4
direct
0.859 0.359 0.500 Li
0.359 0.141 0.500 Li
0.141 0.641 0.500 Li
0.641 0.859 0.500 Li
0.500 0.500 0.000 Fe
0.000 0.000 0.000 Fe
0.326 0.826 0.000 Te
0.674 0.174 0.000 Te
0.174 0.326 0.000 Te
0.826 0.674 0.000 Te
```

***

Record 8
A geometry-optimized Si4Ni structure. Source: the Alexandria database, functional GGA-PBE.

Excess energy over the best structure of this formula in the dataset in meV per atom: 0
ΔE_f (raw) in meV per atom: 194.4
Uncorrected energy in eV per formula unit: -26.501

```
Si4Ni
1.0
-2.671 2.671 2.671
2.671 -2.671 2.671
2.671 2.671 -2.671
Si Ni
4 1
direct
0.000 0.000 0.500 Si
0.500 0.500 0.500 Si
0.500 0.000 0.000 Si
0.000 0.500 0.000 Si
0.000 0.000 0.000 Ni
```

***

Record 9
A geometry-optimized K2TbHoO4 structure. Source: the Alexandria database, functional GGA-PBE.

ΔE_f (raw) in meV per atom: -2765.3
Uncorrected energy in eV per formula unit: -53.358

```
K2TbHoO4
1.0
3.485 0.000 0.000
0.000 6.035 0.102
0.000 -2.116 6.227
O Ho Tb K
4 1 1 2
direct
0.500 0.774 0.815 O
0.000 0.269 0.814 O
0.000 0.731 0.186 O
0.500 0.226 0.185 O
0.000 0.000 0.000 Ho
0.500 0.500 0.000 Tb
0.000 0.500 0.500 K
0.500 0.000 0.500 K
```

***

Record 10
A geometry-optimized Tb5Pr12Y structure. Source: the Alexandria database, functional GGA-PBE.

Uncorrected energy in eV per formula unit: -86.627

```
Tb5Pr12Y
1.0
15.529 -0.009 0.012
7.759 7.785 0.006
-0.004 0.000 5.195
Tb Pr Y
5 12 1
direct
0.167 0.666 0.500 Tb
0.833 0.334 0.500 Tb
0.333 0.333 0.000 Tb
0.500 0.000 0.500 Tb
0.667 0.667 0.000 Tb
0.002 0.666 0.000 Pr
0.498 0.333 0.500 Pr
0.665 0.000 0.000 Pr
0.502 0.667 0.500 Pr
0.335 0.000 0.000 Pr
0.169 0.333 0.500 Pr
0.998 0.334 0.000 Pr
0.835 0.000 0.500 Pr
0.668 0.334 0.000 Pr
0.831 0.667 0.500 Pr
0.332 0.666 0.000 Pr
0.165 0.000 0.500 Pr
0.000 0.000 0.000 Y
```

***

Record 11
A geometry-optimized GeIrN structure. Source: the Alexandria database, functional GGA-PBE.

Excess energy over the best structure of this formula in the dataset in meV per atom: 310
ΔE_f (raw) in meV per atom: 567.4
Uncorrected energy in eV per formula unit: -20.101

```
GeIrN
1.0
-0.596 2.684 -0.101
-3.287 -0.869 -3.698
-2.677 -0.502 2.497
Ir N Ge
1 1 1
direct
0.878 0.000 0.814 Ir
0.878 0.000 0.308 N
0.883 0.500 0.581 Ge
```

***

Record 12
A geometry-optimized LiAcSmGe structure. Source: the Alexandria database, functional GGA-PBE.

Uncorrected energy in eV per formula unit: -16.680

```
LiAcSmGe
1.0
5.361 0.000 0.000
2.680 4.643 0.000
2.680 1.548 4.377
Li Sm Ge Ac
1 1 1 1
direct
0.750 0.750 0.750 Li
0.500 0.500 0.500 Sm
0.250 0.250 0.250 Ge
0.000 0.000 0.000 Ac
```

***

What is the formula in the sixth record? Zr3TiMn

***

What is the uncorrected energy in the second record? -62.342 eV per formula unit

***

What did the eighth record say?
A geometry-optimized Si4Ni structure. Source: the Alexandria database, functional GGA-PBE.

Excess energy over the best structure of this formula in the dataset in meV per atom: 0
ΔE_f (raw) in meV per atom: 194.4
Uncorrected energy in eV per formula unit: -26.501

```
Si4Ni
1.0
-2.671 2.671 2.671
2.671 -2.671 2.671
2.671 2.671 -2.671
Si Ni
4 1
direct
0.000 0.000 0.500 Si
0.500 0.500 0.500 Si
0.500 0.000 0.000 Si
0.000 0.500 0.000 Si
0.000 0.000 0.000 Ni
```